# Te2MoOsI | the Alexandria database | GGA-PBEsol | optimized geometry
data_Te2MoOsI
_cell_length_a 5.0900
_cell_length_b 5.0900
_cell_length_c 5.4599
_cell_angle_alpha 90.00
_cell_angle_beta 90.00
_cell_angle_gamma 90.00
_symmetry_space_group_name_H-M 'P 4/m m m'
_symmetry_Int_Tables_number 123
_symmetry_space_group_name_Hall '-P 4 2'
loop_
_atom_site_label
_atom_site_type_symbol
_atom_site_fract_x
_atom_site_fract_y
_atom_site_fract_z
_atom_site_occupancy
Te1 Te 0.0000 0.5000 0.0000 1
Mo1 Mo 0.0000 0.0000 0.5000 1
Os1 Os 0.5000 0.5000 0.0000 1
I1 I 0.5000 0.5000 0.5000 1
# **DOS at the Fermi energy**: 6.00 states/eV/f.u.
# **Raw formation energy**: 1.459 eV/atom
# **Energy relative to the lowest polymorph listed for this composition**: 0 meV/atom
# **Volume**: 28.3 Å³ per atom
# **Electronic total energy**: -25.510 eV for the cell shown